Here is a relaxed NdGdHg crystal from the Open Quantum Materials Database. Energies are from GGA-PBE.

a = 5.190 Å, b = 5.190 Å, c = 5.190 Å
α = 60.00°, β = 60.00°, γ = 60.00°
Element x y z (fractional)
Nd1 0.000 0.000 0.000
Gd1 0.500 0.500 0.500
Hg1 0.750 0.750 0.750

## Properties
space-group type: F-43m
total moment: 0.3 μB per formula unit
E_form: -0.296 eV per formula unit
total energy: -3.34 eV per atom

---

Here is a relaxed TmPuCo crystal from the Open Quantum Materials Database. Energies are from GGA-PBE.

a = 4.610 Å, b = 4.610 Å, c = 4.610 Å
α = 60.00°, β = 60.00°, γ = 60.00°
Element x y z (fractional)
Tm1 0.000 0.000 0.000
Pu1 0.500 0.500 0.500
Co1 0.750 0.750 0.750

## Properties
space-group type: F-43m
total moment: 5.7 μB per formula unit
E_form: 0.085 eV per formula unit
total energy: -8.54 eV per atom

---

Question: Among the records above, which one has the lowest total energy?
Answer: TmPuCo

---

Please write out number 2 again, unchanged.
Here is a relaxed TmPuCo crystal from the Open Quantum Materials Database. Energies are from GGA-PBE.

a = 4.610 Å, b = 4.610 Å, c = 4.610 Å
α = 60.00°, β = 60.00°, γ = 60.00°
Element x y z (fractional)
Tm1 0.000 0.000 0.000
Pu1 0.500 0.500 0.500
Co1 0.750 0.750 0.750

## Properties
space-group type: F-43m
total moment: 5.7 μB per formula unit
E_form: 0.085 eV per formula unit
total energy: -8.54 eV per atom